Entry 1:
This record from the Alexandria database describes a relaxed Ga2AgRu crystal. The functional is PBE.

Results
The density of states at the Fermi level is 0.66 states/eV per atom. Its crystal system is tetragonal. The calculated formation energy comes out at 0.260 eV per atom.

a = 4.0683 Å, b = 4.0683 Å, c = 9.1644 Å
α = 77.18°, β = 77.18°, γ = 90.00°
Fractional coordinates of all 8 atoms:
Ru  0.5000  0.5000  0.0000
Ru  0.2500  0.7500  0.5000
Ag  0.0000  0.0000  0.0000
Ag  0.7500  0.2500  0.5000
Ga  0.3750  0.4124  0.7500
Ga  0.5876  0.1250  0.2500
Ga  0.8750  0.8376  0.7500
Ga  0.1624  0.6250  0.2500

Entry 2:
This record from the Alexandria database describes a relaxed Co3Tc5 crystal. The functional is PBE.

Results
The density of states at the Fermi level is 1.27 states/eV per atom. Its crystal system is orthorhombic. The calculated formation energy comes out at 0.059 eV per atom.

a = 5.2805 Å, b = 5.2805 Å, c = 3.7347 Å
α = 90.00°, β = 90.00°, γ = 90.55°
Fractional coordinates of all 8 atoms:
Tc  0.0000  0.0000  0.0000
Tc  0.5000  0.0000  0.0000
Tc  0.7414  0.2586  0.5000
Tc  0.0000  0.5000  0.0000
Tc  0.2586  0.7414  0.5000
Co  0.5000  0.5000  0.0000
Co  0.2571  0.2571  0.5000
Co  0.7429  0.7429  0.5000

Entry 3:
This record from the Alexandria database describes a relaxed CaBeAs2O8 crystal. The functional is PBE.

Results
Its crystal system is triclinic. The formation energy (no corrections) comes out at -1.317 eV/atom.

a = 4.8132 Å, b = 4.7032 Å, c = 5.9517 Å
α = 94.08°, β = 87.30°, γ = 81.22°
Site moments in Bohr magnetons follow the coordinates.
Fractional coordinates of all 12 atoms:
O  0.7755  0.2533  0.7880  0.37
O  0.3165  0.3267  0.0032  0.47
O  0.2245  0.7467  0.2120  0.37
O  0.6835  0.6733  0.9968  0.47
O  0.1945  0.8154  0.7940  0.02
O  0.6578  0.6752  0.4985  0.01
O  0.8055  0.1846  0.2060  0.02
O  0.3422  0.3248  0.5015  0.01
Be  0.0000  0.0000  0.0000  0.00
Ca  0.0000  0.0000  0.5000  0.02
As  0.4777  0.5235  0.7502  -0.02
As  0.5223  0.4765  0.2498  -0.02

Entry 4:
This record from the Alexandria database describes a relaxed PrHoTl2 crystal. The functional is PBE.

Results
The density of states at the Fermi level is 0.69 states/eV per atom. Its crystal system is cubic. The calculated formation energy comes out at -0.353 eV per atom.

a = 5.4612 Å, b = 5.4612 Å, c = 5.4612 Å
α = 59.99°, β = 59.99°, γ = 60.00°
Fractional coordinates of all 4 atoms:
Ho  0.2500  0.2500  0.2500
Tl  0.5000  0.5000  0.5000
Tl  0.0000  0.0000  0.0000
Pr  0.7500  0.7500  0.7500

Entry 5:
This record from the Alexandria database describes a relaxed La2Al crystal. The functional is PBE.

Results
The density of states at the Fermi level is 1.31 states/eV per atom. Its crystal system is cubic. The calculated formation energy comes out at -0.079 eV per atom.

a = 5.2715 Å, b = 5.2715 Å, c = 5.2715 Å
α = 60.00°, β = 60.00°, γ = 60.00°
Fractional coordinates of all 3 atoms:
La  0.7500  0.7500  0.7500
La  0.2500  0.2500  0.2500
Al  0.0000  0.0000  0.0000

Entry 6:
This record from the Alexandria database describes a relaxed Pa2Cr12P7 crystal. The functional is PBE.

Results
The density of states at the Fermi level is 0.88 states/eV per atom. Its crystal system is trigonal. The calculated formation energy comes out at -0.512 eV per atom.

a = 3.6536 Å, b = 9.5141 Å, c = 9.5141 Å
α = 120.00°, β = 90.00°, γ = 90.00°
Site moments in Bohr magnetons follow the coordinates.
Fractional coordinates of all 21 atoms:
Cr  0.2607  0.1485  0.8817  1.79
Cr  0.2553  0.9503  0.5713  -1.09
Cr  0.2607  0.1183  0.2668  1.79
Cr  0.7393  0.8817  0.7332  1.79
Cr  0.7393  0.8515  0.1183  1.79
Cr  0.7447  0.3790  0.9503  -1.09
Cr  0.7447  0.5713  0.6210  -1.09
Cr  0.2553  0.6210  0.0497  -1.09
Cr  0.7447  0.0497  0.4287  -1.09
Cr  0.7393  0.2668  0.1485  1.79
Cr  0.2607  0.7332  0.8515  1.79
Cr  0.2553  0.4287  0.3790  -1.09
P  0.2418  0.4152  0.1225  0.00
P  0.2418  0.8775  0.2926  0.00
P  0.7582  0.1225  0.7074  0.00
P  0.7582  0.2926  0.4152  0.00
P  0.2418  0.7074  0.5848  0.00
P  0.7582  0.5848  0.8775  0.00
P  0.5000  0.0000  0.0000  -0.10
Pa  0.2544  0.3333  0.6667  -0.10
Pa  0.7456  0.6667  0.3333  -0.10

Number 4 is which compound?
PrHoTl2